Density functional theory data (PBE-GGA) for an optimized crystal structure of Sc3GeAu.

Cell lengths 5.0137, 5.0137, 5.0137 Å; angles 90.00, 90.00, 90.00 degrees
Fractional positions:
Sc1 0.0000 0.0000 0.5000
Sc2 0.0000 0.5000 0.0000
Sc3 0.5000 0.0000 0.0000
Ge1 0.0000 0.0000 0.0000
Au1 0.5000 0.5000 0.5000

Computed properties:
Polymorph energy (0 for the lowest one)   0 meV per atom
Fermi-level density of states   2.69 states/eV/cell
Energy of formation from the pure elements   -0.0860 eV per atom